[1]
Material: SrNi4GeP2
Method: DFT, PBE-GGA
State: optimized geometry

The total energy comes out at -44.82 eV/cell. Its energy relative to the elements is -0.572 eV/atom. The value obtained for the magnetic moment is 0.00 μB/f.u.

The structure belongs to space group P4/mmm (No. 123); the cell edges are 3.8294, 3.8294 and 8.6606 Å and the angles 90.00°, 90.00° and 90.00°. The distinct sites, in fractional coordinates, are Sr at (0.0000, 0.0000, 0.0000), Ni at (0.0000, 0.5000, 0.3320), Ge at (0.0000, 0.0000, 0.5000) and P at (0.5000, 0.5000, 0.2024).


[2]
Material: Sr2Ni4GeP3
Method: DFT, PBE-GGA
State: optimized geometry

The total energy comes out at -54.14 eV/cell. Its energy relative to the elements is -0.681 eV/atom. The value obtained for the magnetic moment is 0.00 μB/f.u.

The structure belongs to space group P-4m2 (No. 115); the cell edges are 4.0874, 4.0874 and 9.6064 Å and the angles 90.00°, 90.00° and 90.00°. The distinct sites, in fractional coordinates, are Sr at (0.0000, 0.5000, 0.2461), Ni at (0.0000, 0.0000, 0.0000), Ni at (0.0000, 0.5000, 0.6274), Ni at (0.5000, 0.5000, 0.0000), Ge at (0.0000, 0.0000, 0.5000), P at (0.0000, 0.5000, 0.8764) and P at (0.5000, 0.5000, 0.5000).


[3]
Material: Ta2NiGeP
Method: DFT, PBE-GGA
State: optimized geometry

The total energy comes out at -38.40 eV/cell. Its energy relative to the elements is 0.223 eV/atom. The value obtained for the magnetic moment is 0.00 μB/f.u.

The structure belongs to space group P4/mmm (No. 123); the cell edges are 4.6586, 4.6586 and 4.0233 Å and the angles 90.00°, 90.00° and 90.00°. The distinct sites, in fractional coordinates, are Ta at (0.0000, 0.5000, 0.0000), Ni at (0.0000, 0.0000, 0.5000), Ge at (0.5000, 0.5000, 0.5000) and P at (0.0000, 0.0000, 0.0000).


[4]
Material: TaNi7Ge2P2
Method: DFT, PBE-GGA
State: optimized geometry

The total energy comes out at -150.50 eV/cell. Its energy relative to the elements is -0.239 eV/atom. The value obtained for the magnetic moment is 0.00 μB/f.u.

The structure belongs to space group C2/m (No. 12); the cell edges are 4.9988, 5.0543 and 13.4980 Å and the angles 90.00°, 96.07° and 90.00°. The distinct sites, in fractional coordinates, are Ta at (0.0000, 0.0000, 0.0000), Ni at (0.0000, 0.5000, 0.0000), Ni at (0.1123, 0.5000, 0.4076), Ni at (0.2106, 0.2497, 0.8567), Ge at (0.1343, 0.0000, 0.4206) and P at (0.0679, 0.5000, 0.2453).


[5]
Material: Tb2Ni4GeP3
Method: DFT, PBE-GGA
State: optimized geometry

The total energy comes out at -62.55 eV/cell. Its energy relative to the elements is -0.931 eV/atom. The value obtained for the magnetic moment is 0.00 μB/f.u.

The structure belongs to space group P-4m2 (No. 115); the cell edges are 3.9412, 3.9412 and 9.5081 Å and the angles 90.00°, 90.00° and 90.00°. The distinct sites, in fractional coordinates, are Tb at (0.0000, 0.5000, 0.2428), Ni at (0.0000, 0.0000, 0.0000), Ni at (0.0000, 0.5000, 0.6329), Ni at (0.5000, 0.5000, 0.0000), Ge at (0.0000, 0.0000, 0.5000), P at (0.0000, 0.5000, 0.8699) and P at (0.5000, 0.5000, 0.5000).


[6]
Material: Th2Ni4GeP3
Method: DFT, PBE-GGA
State: optimized geometry

The total energy comes out at -68.39 eV/cell. Its energy relative to the elements is -0.957 eV/atom. The value obtained for the magnetic moment is 0.00 μB/f.u.

The structure belongs to space group P-4m2 (No. 115); the cell edges are 4.0918, 4.0918 and 9.3046 Å and the angles 90.00°, 90.00° and 90.00°. The distinct sites, in fractional coordinates, are Th at (0.0000, 0.5000, 0.2435), Ni at (0.0000, 0.0000, 0.0000), Ni at (0.0000, 0.5000, 0.6269), Ni at (0.5000, 0.5000, 0.0000), Ge at (0.0000, 0.0000, 0.5000), P at (0.0000, 0.5000, 0.8739) and P at (0.5000, 0.5000, 0.5000).


Which formula does entry 3 have? Ta2NiGeP


What is the energy relative to the elements in the fourth record? -0.239 eV/atom


What did the sixth record say?
Material: Th2Ni4GeP3
Method: DFT, PBE-GGA
State: optimized geometry

The total energy comes out at -68.39 eV/cell. Its energy relative to the elements is -0.957 eV/atom. The value obtained for the magnetic moment is 0.00 μB/f.u.

The structure belongs to space group P-4m2 (No. 115); the cell edges are 4.0918, 4.0918 and 9.3046 Å and the angles 90.00°, 90.00° and 90.00°. The distinct sites, in fractional coordinates, are Th at (0.0000, 0.5000, 0.2435), Ni at (0.0000, 0.0000, 0.0000), Ni at (0.0000, 0.5000, 0.6269), Ni at (0.5000, 0.5000, 0.0000), Ge at (0.0000, 0.0000, 0.5000), P at (0.0000, 0.5000, 0.8739) and P at (0.5000, 0.5000, 0.5000).